1.
Crystalline PaAuN at its relaxed geometry, computed with PBE.

The calculation puts the distance to the lowest polymorph of the same formula at 0.396 eV per atom. The total magnetic moment comes out at 0.64 μB per formula unit. The value obtained for the energy relative to the elements, uncorrected is -0.84 eV per atom.

The space group is P4/nmm (No. 129, origin choice 2) and the conventional cell measures 3.654, 3.654 and 7.979 Å, with angles of 90.00, 90.00 and 90.00 degrees. The inequivalent atoms are Pa at (0.250, 0.250, 0.164), Au at (0.250, 0.750, 0.500) and N at (0.250, 0.250, 0.897).

***

2.
Crystalline Pa3AuN at its relaxed geometry, computed with PBE.

The total magnetic moment comes out at 0.00 μB per formula unit. The value obtained for the energy relative to the elements, uncorrected is -0.62 eV per atom.

The space group is Pm-3m (No. 221) and the conventional cell measures 4.717, 4.717 and 4.717 Å, with angles of 90.00, 90.00 and 90.00 degrees. The inequivalent atoms are Pa at (0.000, 0.000, 0.500), Au at (0.500, 0.500, 0.500) and N at (0.000, 0.000, 0.000).

***

- total magnetic moment of number 1 (PaAuN)?
  0.64 μB per formula unit

***

- Among the records above, which one has the lowest energy relative to the elements, uncorrected?
  PaAuN

***

Copy entry 2 word for word.
Crystalline Pa3AuN at its relaxed geometry, computed with PBE.

The total magnetic moment comes out at 0.00 μB per formula unit. The value obtained for the energy relative to the elements, uncorrected is -0.62 eV per atom.

The space group is Pm-3m (No. 221) and the conventional cell measures 4.717, 4.717 and 4.717 Å, with angles of 90.00, 90.00 and 90.00 degrees. The inequivalent atoms are Pa at (0.000, 0.000, 0.500), Au at (0.500, 0.500, 0.500) and N at (0.000, 0.000, 0.000).

***

- Which value of total magnetic moment does entry 2 give?
  0.00 μB per formula unit